# 1
This record from Alexandria via LeMat-Bulk describes a crystal of Mg2Zn2Cu relaxed with PBEsol. The functional is SCAN.

The structure in POSCAR format:
```
Mg2Zn2Cu
1.0
2.213 1.278 4.594
-2.213 1.278 4.594
0.000 -2.555 4.594
Mg Zn Cu
2 2 1
Direct
0.107 0.107 0.107
0.893 0.893 0.893
0.319 0.319 0.319
0.681 0.681 0.681
0.500 0.500 0.500
```

Properties
E above lowest polymorph: 40 meV per atom

***

# 2
This record from Alexandria via LeMat-Bulk describes a crystal of MgZn2Cu2 relaxed with PBEsol. The functional is SCAN.

The structure in POSCAR format:
```
MgZn2Cu2
1.0
2.045 -6.299 0.000
2.045 6.299 0.000
0.000 0.000 5.301
Mg Zn Cu
2 4 4
Direct
0.097 0.903 0.500
0.903 0.097 0.000
0.122 0.878 0.005
0.305 0.695 0.259
0.695 0.305 0.759
0.878 0.122 0.505
0.303 0.697 0.754
0.498 0.502 0.743
0.502 0.498 0.243
0.697 0.303 0.254
```

Properties
E above lowest polymorph: 25 meV per atom

***

# 3
This record from Alexandria via LeMat-Bulk describes a crystal of MgZnCu2 relaxed with PBEsol. The functional is SCAN.

The structure in POSCAR format:
```
MgZnCu2
1.0
1.358 -9.532 0.000
1.358 9.532 0.000
0.000 0.000 4.245
Mg Zn Cu
2 2 4
Direct
0.092 0.908 0.750
0.908 0.092 0.250
0.339 0.661 0.750
0.661 0.339 0.250
0.272 0.728 0.250
0.467 0.533 0.750
0.533 0.467 0.250
0.728 0.272 0.750
```

***

# 4
This record from Alexandria via LeMat-Bulk describes a crystal of MgZr2Cu relaxed with PBEsol. The functional is SCAN.

The structure in POSCAR format:
```
MgZr2Cu
1.0
3.102 0.000 0.000
0.000 3.102 0.000
0.000 0.000 7.980
Mg Zr Cu
1 2 1
Direct
0.000 0.000 0.000
0.000 0.000 0.580
0.500 0.500 0.304
0.500 0.500 0.799
```

***

# 5
This record from Alexandria via LeMat-Bulk describes a crystal of MgZr2Cu relaxed with PBEsol. The functional is SCAN.

The structure in POSCAR format:
```
MgZr2Cu
1.0
-1.574 2.459 4.871
1.574 -2.459 4.871
1.574 2.459 -4.871
Mg Zr Cu
1 2 1
Direct
0.000 0.000 0.000
0.288 0.788 0.500
0.557 0.557 0.000
0.788 0.288 0.500
```

***

# 6
This record from Alexandria via LeMat-Bulk describes a crystal of Mn3Cu relaxed with PBEsol. The functional is SCAN.

The structure in POSCAR format:
```
Mn3Cu
1.0
3.478 0.000 0.000
0.000 3.478 0.000
0.000 0.000 3.478
Mn Cu
3 1
Direct
0.000 0.000 0.500
0.000 0.500 0.000
0.500 0.000 0.000
0.500 0.500 0.500
```

***

# 7
This record from Alexandria via LeMat-Bulk describes a crystal of Mn2Cu relaxed with PBEsol. The functional is SCAN.

The structure in POSCAR format:
```
Mn2Cu
1.0
-1.218 1.780 3.663
1.218 -1.780 3.663
1.218 1.780 -3.663
Mn Cu
2 1
Direct
0.169 0.169 0.000
0.831 0.831 0.000
0.500 0.500 0.000
```

***

# 8
This record from Alexandria via LeMat-Bulk describes a crystal of Mn3Cu relaxed with PBEsol. The functional is SCAN.

The structure in POSCAR format:
```
Mn3Cu
1.0
2.530 0.000 0.000
0.000 3.477 0.000
0.000 0.000 5.048
Mn Cu
3 1
Direct
0.000 0.000 0.000
0.500 0.500 0.246
0.500 0.500 0.754
0.000 0.000 0.500
```

***

# 9
This record from Alexandria via LeMat-Bulk describes a crystal of MnCu3 relaxed with PBEsol. The functional is SCAN.

The structure in POSCAR format:
```
MnCu3
1.0
5.111 0.000 0.000
-2.555 4.426 0.000
0.000 0.000 4.177
Mn Cu
2 6
Direct
0.333 0.667 0.250
0.667 0.333 0.750
0.166 0.331 0.750
0.166 0.834 0.750
0.331 0.166 0.250
0.669 0.834 0.750
0.834 0.166 0.250
0.834 0.669 0.250
```

***

# 10
This record from Alexandria via LeMat-Bulk describes a crystal of MnCu3 relaxed with PBEsol. The functional is SCAN.

The structure in POSCAR format:
```
MnCu3
1.0
2.592 0.000 0.000
0.000 3.489 0.000
0.000 0.000 5.192
Mn Cu
1 3
Direct
0.000 0.000 0.000
0.000 0.000 0.500
0.500 0.500 0.256
0.500 0.500 0.744
```

***

# 11
This record from Alexandria via LeMat-Bulk describes a crystal of MnCu3 relaxed with PBEsol. The functional is SCAN.

The structure in POSCAR format:
```
MnCu3
1.0
2.486 0.000 0.000
0.000 4.139 0.000
-0.534 0.000 4.570
Mn Cu
1 3
Direct
0.000 0.000 0.000
0.273 0.500 0.747
0.500 0.000 0.500
0.727 0.500 0.253
```

***

# 12
This record from Alexandria via LeMat-Bulk describes a crystal of Mn2CuMo relaxed with PBEsol. The functional is SCAN.

The structure in POSCAR format:
```
Mn2CuMo
1.0
3.796 0.000 0.000
0.000 3.796 0.000
0.000 0.000 3.352
Mn Cu Mo
2 1 1
Direct
0.000 0.500 0.000
0.500 0.000 0.000
0.000 0.000 0.500
0.500 0.500 0.500
```

Properties
E above lowest polymorph: 0 meV per atom

***

# 13
This record from Alexandria via LeMat-Bulk describes a crystal of MnCu2Mo relaxed with PBEsol. The functional is SCAN.

The structure in POSCAR format:
```
MnCu2Mo
1.0
-1.715 1.715 4.078
1.715 -1.715 4.078
1.715 1.715 -4.078
Mn Cu Mo
1 2 1
Direct
0.000 0.000 0.000
0.250 0.750 0.500
0.750 0.250 0.500
0.500 0.500 0.000
```

***

Number 1: E_form -12 kJ/mol of atoms, D(E_F) 0.995 states/eV/cell. Number 2: E_form -10 kJ/mol of atoms, D(E_F) 2.872 states/eV/cell. Number 3: E_form -8 kJ/mol of atoms, D(E_F) 2.128 states/eV/cell. Number 4: E_form -10 kJ/mol of atoms, D(E_F) 2.052 states/eV/cell. Number 5: E_form 0 kJ/mol of atoms, D(E_F) 4.369 states/eV/cell. Number 6: E_form 30 kJ/mol of atoms, D(E_F) 4.025 states/eV/cell. Number 7: E_form 32 kJ/mol of atoms, D(E_F) 2.671 states/eV/cell. Number 8: E_form -4 kJ/mol of atoms, D(E_F) 3.575 states/eV/cell. Number 9: E_form -7 kJ/mol of atoms, D(E_F) 3.934 states/eV/cell. Number 10: E_form -4 kJ/mol of atoms, D(E_F) 1.637 states/eV/cell. Number 11: E_form 2 kJ/mol of atoms, D(E_F) 1.770 states/eV/cell. Number 12: E_form 9 kJ/mol of atoms, D(E_F) 2.309 states/eV/cell. Number 13: E_form 25 kJ/mol of atoms, D(E_F) 1.906 states/eV/cell.